# CaEu2N | Alexandria | PBE | optimized geometry
data_CaEu2N
_cell_length_a 3.7018
_cell_length_b 3.7018
_cell_length_c 29.5259
_cell_angle_alpha 90.00
_cell_angle_beta 90.00
_cell_angle_gamma 120.00
_space_group_name_H-M_alt 'R -3 m'
_space_group_IT_number 166
_space_group_name_Hall '-R 3 2"'
loop_
_atom_site_label
_atom_site_type_symbol
_atom_site_fract_x
_atom_site_fract_y
_atom_site_fract_z
_atom_site_occupancy
Ca1 Ca 0.0000 0.0000 0.0000 1
Eu1 Eu 0.0000 0.0000 0.2131 1
N1 N 0.0000 0.0000 0.5000 1
# * total magnetization: 14.25 μB per formula unit
# * formation energy without anion corrections: -2.18 eV/f.u.

---

# CaEu3N | Alexandria | PBE | optimized geometry
data_CaEu3N
_cell_length_a 5.276
_cell_length_b 5.276
_cell_length_c 5.276
_cell_angle_alpha 90.00
_cell_angle_beta 90.00
_cell_angle_gamma 90.00
_space_group_name_H-M_alt 'P m -3 m'
_space_group_IT_number 221
_space_group_name_Hall '-P 4 2 3'
loop_
_atom_site_label
_atom_site_type_symbol
_atom_site_fract_x
_atom_site_fract_y
_atom_site_fract_z
_atom_site_occupancy
Ca1 Ca 0.000 0.000 0.000 1
Eu1 Eu 0.000 0.500 0.500 1
N1 N 0.500 0.500 0.500 1
# * total magnetization: 22.22 μB per formula unit
# * formation energy without anion corrections: -1.51 eV/f.u.

---

# Ca2EuN | Alexandria | PBE | optimized geometry
data_Ca2EuN
_cell_length_a 3.6336
_cell_length_b 3.6336
_cell_length_c 30.6825
_cell_angle_alpha 90.00
_cell_angle_beta 90.00
_cell_angle_gamma 120.00
_space_group_name_H-M_alt 'R -3 m'
_space_group_IT_number 166
_space_group_name_Hall '-R 3 2"'
loop_
_atom_site_label
_atom_site_type_symbol
_atom_site_fract_x
_atom_site_fract_y
_atom_site_fract_z
_atom_site_occupancy
Ca1 Ca 0.0000 0.0000 0.1259 1
Eu1 Eu 0.0000 0.0000 0.0000 1
N1 N 0.0000 0.0000 0.5000 1
# * total magnetization: 7.98 μB per formula unit
# * formation energy without anion corrections: -1.87 eV/f.u.

---

# NaCa2Eu | Alexandria | PBE | optimized geometry
data_NaCa2Eu
_cell_length_a 3.8828
_cell_length_b 3.8828
_cell_length_c 38.1180
_cell_angle_alpha 90.00
_cell_angle_beta 90.00
_cell_angle_gamma 120.00
_space_group_name_H-M_alt 'R -3 m'
_space_group_IT_number 166
_space_group_name_Hall '-R 3 2"'
loop_
_atom_site_label
_atom_site_type_symbol
_atom_site_fract_x
_atom_site_fract_y
_atom_site_fract_z
_atom_site_occupancy
Na1 Na 0.0000 0.0000 0.0000 1
Ca1 Ca 0.0000 0.0000 0.2507 1
Eu1 Eu 0.0000 0.0000 0.5000 1
# * offset from the most stable computed form: 0.000 eV/atom
# * formation energy: 0.04 eV per atom
# * total magnetization: 7.46 μB per formula unit

---

# NaCaEu2 | Alexandria | PBE | optimized geometry
data_NaCaEu2
_cell_length_a 6.301
_cell_length_b 6.301
_cell_length_c 4.275
_cell_angle_alpha 90.00
_cell_angle_beta 90.00
_cell_angle_gamma 90.00
_space_group_name_H-M_alt 'P 4/m m m'
_space_group_IT_number 123
_space_group_name_Hall '-P 4 2'
loop_
_atom_site_label
_atom_site_type_symbol
_atom_site_fract_x
_atom_site_fract_y
_atom_site_fract_z
_atom_site_occupancy
Na1 Na 0.000 0.000 0.000 1
Ca1 Ca 0.500 0.500 0.000 1
Eu1 Eu 0.000 0.500 0.500 1
# * offset from the most stable computed form: 0.035 eV/atom
# * formation energy: 0.08 eV per atom
# * total magnetization: 15.05 μB per formula unit

---

# NaCa2Eu | Alexandria | PBE | optimized geometry
data_NaCa2Eu
_cell_length_a 3.836
_cell_length_b 3.836
_cell_length_c 11.175
_cell_angle_alpha 90.00
_cell_angle_beta 90.00
_cell_angle_gamma 90.00
_space_group_name_H-M_alt 'P 4/m m m'
_space_group_IT_number 123
_space_group_name_Hall '-P 4 2'
loop_
_atom_site_label
_atom_site_type_symbol
_atom_site_fract_x
_atom_site_fract_y
_atom_site_fract_z
_atom_site_occupancy
Na1 Na 0.000 0.000 0.000 1
Ca1 Ca 0.500 0.500 0.242 1
Eu1 Eu 0.000 0.000 0.500 1
# * offset from the most stable computed form: 0.001 eV/atom
# * formation energy: 0.05 eV per atom
# * total magnetization: 7.36 μB per formula unit

---

# NaCaEu2 | Alexandria | PBE | optimized geometry
data_NaCaEu2
_cell_length_a 3.8748
_cell_length_b 3.8748
_cell_length_c 38.7522
_cell_angle_alpha 90.00
_cell_angle_beta 90.00
_cell_angle_gamma 120.00
_space_group_name_H-M_alt 'R -3 m'
_space_group_IT_number 166
_space_group_name_Hall '-R 3 2"'
loop_
_atom_site_label
_atom_site_type_symbol
_atom_site_fract_x
_atom_site_fract_y
_atom_site_fract_z
_atom_site_occupancy
Na1 Na 0.0000 0.0000 0.0000 1
Ca1 Ca 0.0000 0.0000 0.5000 1
Eu1 Eu 0.0000 0.0000 0.2497 1
# * offset from the most stable computed form: 0.000 eV/atom
# * formation energy: 0.05 eV per atom
# * total magnetization: 15.12 μB per formula unit

---

# NaCaEu2 | Alexandria | PBE | optimized geometry
data_NaCaEu2
_cell_length_a 8.789
_cell_length_b 8.789
_cell_length_c 8.789
_cell_angle_alpha 90.00
_cell_angle_beta 90.00
_cell_angle_gamma 90.00
_space_group_name_H-M_alt 'F m -3 m'
_space_group_IT_number 225
_space_group_name_Hall '-F 4 2 3'
loop_
_atom_site_label
_atom_site_type_symbol
_atom_site_fract_x
_atom_site_fract_y
_atom_site_fract_z
_atom_site_occupancy
Na1 Na 0.000 0.000 0.000 1
Ca1 Ca 0.000 0.000 0.500 1
Eu1 Eu 0.250 0.250 0.250 1
# * offset from the most stable computed form: 0.058 eV/atom
# * formation energy: 0.11 eV per atom
# * total magnetization: 15.30 μB per formula unit

---

# NaCa2Eu | Alexandria | PBE | optimized geometry
data_NaCa2Eu
_cell_length_a 8.743
_cell_length_b 8.743
_cell_length_c 8.743
_cell_angle_alpha 90.00
_cell_angle_beta 90.00
_cell_angle_gamma 90.00
_space_group_name_H-M_alt 'F m -3 m'
_space_group_IT_number 225
_space_group_name_Hall '-F 4 2 3'
loop_
_atom_site_label
_atom_site_type_symbol
_atom_site_fract_x
_atom_site_fract_y
_atom_site_fract_z
_atom_site_occupancy
Na1 Na 0.000 0.000 0.000 1
Ca1 Ca 0.250 0.250 0.250 1
Eu1 Eu 0.000 0.000 0.500 1
# * offset from the most stable computed form: 0.066 eV/atom
# * formation energy: 0.11 eV per atom
# * total magnetization: 7.55 μB per formula unit

---

# NaCa2Eu | Alexandria | PBE | optimized geometry
data_NaCa2Eu
_cell_length_a 6.210
_cell_length_b 6.210
_cell_length_c 4.278
_cell_angle_alpha 90.00
_cell_angle_beta 90.00
_cell_angle_gamma 90.00
_space_group_name_H-M_alt 'P 4/m m m'
_space_group_IT_number 123
_space_group_name_Hall '-P 4 2'
loop_
_atom_site_label
_atom_site_type_symbol
_atom_site_fract_x
_atom_site_fract_y
_atom_site_fract_z
_atom_site_occupancy
Na1 Na 0.000 0.000 0.000 1
Ca1 Ca 0.000 0.500 0.500 1
Eu1 Eu 0.500 0.500 0.000 1
# * offset from the most stable computed form: 0.030 eV/atom
# * formation energy: 0.07 eV per atom
# * total magnetization: 7.65 μB per formula unit

---

# NaCaEu4 | Alexandria | PBE | optimized geometry
data_NaCaEu4
_cell_length_a 10.262
_cell_length_b 10.262
_cell_length_c 10.262
_cell_angle_alpha 90.00
_cell_angle_beta 90.00
_cell_angle_gamma 90.00
_space_group_name_H-M_alt 'F -4 3 m'
_space_group_IT_number 216
_space_group_name_Hall 'F -4 2 3'
loop_
_atom_site_label
_atom_site_type_symbol
_atom_site_fract_x
_atom_site_fract_y
_atom_site_fract_z
_atom_site_occupancy
Na1 Na 0.000 0.000 0.000 1
Ca1 Ca 0.250 0.250 0.250 1
Eu1 Eu 0.125 0.125 0.625 1
# * formation energy: 0.19 eV per atom
# * total magnetization: 30.51 μB per formula unit

---

# NaCaPrEu | Alexandria | PBE | optimized geometry
data_NaCaPrEu
_cell_length_a 8.511
_cell_length_b 8.511
_cell_length_c 8.511
_cell_angle_alpha 90.00
_cell_angle_beta 90.00
_cell_angle_gamma 90.00
_space_group_name_H-M_alt 'F -4 3 m'
_space_group_IT_number 216
_space_group_name_Hall 'F -4 2 3'
loop_
_atom_site_label
_atom_site_type_symbol
_atom_site_fract_x
_atom_site_fract_y
_atom_site_fract_z
_atom_site_occupancy
Na1 Na 0.000 0.000 0.000 1
Ca1 Ca 0.250 0.250 0.750 1
Pr1 Pr 0.250 0.250 0.250 1
Eu1 Eu 0.000 0.000 0.500 1
# * formation energy: 0.22 eV per atom
# * total magnetization: 7.72 μB per formula unit

---

Computed volume (Å³/cell) in order:
350.40 146.84 350.83 497.67 169.76 164.45 503.88 678.90 668.38 164.99 1080.65 616.47